# NaMg2H3S2O8 (GGA-PBEsol, optimized geometry)
# **Energy**: -5.815 eV/atom
# **Total magnetization**: 0.00 μB per cell
data_NaMg2H3S2O8
_chemical_formula_sum 'Na2 Mg4 H6 S4 O16'
_space_group_name_H-M_alt 'P 1'
_space_group_IT_number 1
_space_group_name_Hall 'P 1'
_cell_length_a 6.3151
_cell_length_b 7.6829
_cell_length_c 8.9901
_cell_angle_alpha 63.69
_cell_angle_beta 68.25
_cell_angle_gamma 67.42
loop_
_atom_site_label
_atom_site_type_symbol
_atom_site_fract_x
_atom_site_fract_y
_atom_site_fract_z
_atom_site_occupancy
O1 O 0.5486 0.2560 0.2727 1
O2 O 0.8985 0.1400 0.0715 1
O3 O 0.7079 0.7571 0.1969 1
O4 O 0.9444 0.2528 0.2680 1
O5 O 0.3581 0.9140 0.3753 1
O6 O 0.3301 0.8268 0.1581 1
O7 O 0.2917 0.2441 0.8029 1
O8 O 0.4510 0.7451 0.7269 1
O9 O 0.1013 0.8611 0.9283 1
O10 O 0.6415 0.0871 0.6244 1
O11 O 0.1408 0.1491 0.5701 1
O12 O 0.6696 0.1742 0.8418 1
O13 O 0.1186 0.5086 0.2847 1
O14 O 0.8810 0.4925 0.7151 1
O15 O 0.8588 0.8520 0.4297 1
O16 O 0.0551 0.7484 0.7318 1
Mg1 Mg 0.9930 0.8226 0.1928 1
Mg2 Mg 0.9998 0.0005 0.4999 1
Mg3 Mg 0.4998 0.0006 0.4999 1
Mg4 Mg 0.0067 0.1785 0.8070 1
H1 H 0.7087 0.5666 0.7337 1
H2 H 0.8832 0.7097 0.5069 1
H3 H 0.0327 0.4349 0.2678 1
H4 H 0.2909 0.4345 0.2660 1
H5 H 0.9668 0.5661 0.7320 1
H6 H 0.1163 0.2914 0.4929 1
S1 S 0.5397 0.2612 0.6986 1
S2 S 0.4600 0.7399 0.3012 1
S3 S 0.2174 0.6962 0.8476 1
S4 S 0.7823 0.3049 0.1522 1
Na1 Na 0.3464 0.1755 0.0848 1
Na2 Na 0.6531 0.8256 0.9150 1